Record 1
Here is a relaxed structure of CsPu4Pd3Se12 from Alexandria via LeMat-Bulk. Energies are from PBE.

Output
Uncorrected formation energy   -790 meV/atom
Space group   Im-3
Energy   -131.4 eV per cell

Cell: 8.9318 8.9318 8.9318 Å, 109.47 109.47 109.47°
Last column: nearest neighbours and their distance in Å.
Element x y z (fractional)
Cs  0.0000  0.0000  0.0000  12 Se 3.75
Pu  0.0000  0.0000  0.5000  6 Se 2.83
Pu  0.0000  0.5000  0.0000  6 Se 2.83
Pu  0.5000  0.0000  0.0000  6 Se 2.83
Pu  0.5000  0.5000  0.5000  6 Se 2.83
Pd  0.0000  0.5000  0.5000  4 Se 2.49
Pd  0.5000  0.0000  0.5000  4 Se 2.49
Pd  0.5000  0.5000  0.0000  4 Se 2.49
Se  0.1583  0.3237  0.8346  1 Pd 2.49
Se  0.1654  0.4891  0.3237  1 Pd 2.49
Se  0.1654  0.8417  0.6763  1 Pd 2.49
Se  0.3237  0.1654  0.4891  1 Pd 2.49
Se  0.3237  0.8346  0.1583  1 Pd 2.49
Se  0.4891  0.3237  0.1654  1 Pd 2.49
Se  0.5109  0.6763  0.8346  1 Pd 2.49
Se  0.6763  0.1654  0.8417  1 Pd 2.49
Se  0.6763  0.8346  0.5109  1 Pd 2.49
Se  0.8346  0.1583  0.3237  1 Pd 2.49
Se  0.8346  0.5109  0.6763  1 Pd 2.49
Se  0.8417  0.6763  0.1654  1 Pd 2.49

---

Record 2
Here is a relaxed structure of PuTaMoRu from Alexandria via LeMat-Bulk. Energies are from PBE.

Output
Formation energy   -0.045 eV per atom
Space group   F-43m
Energy   -46.5 eV per cell

Cell: 4.6364 4.6364 4.6364 Å, 60.00 60.00 60.00°
Last column: nearest neighbours and their distance in Å.
Element x y z (fractional)
Pu  0.0000  0.0000  0.0000  4 Mo 2.84, 4 Ru 2.84
Ta  0.5000  0.5000  0.5000  4 Mo 2.84, 4 Ru 2.84
Mo  0.7500  0.7500  0.7500  4 Ta 2.84, 4 Pu 2.84
Ru  0.2500  0.2500  0.2500  4 Ta 2.84, 4 Pu 2.84

---

Record 3
Here is a relaxed structure of RbBa2H8Ru from Alexandria via LeMat-Bulk. Energies are from PBE.

Output
Space group   P-3m1
Energy   -44.1 eV per cell

Cell: 5.3844 5.3844 7.5670 Å, 90.00 90.00 120.00°
Last column: nearest neighbours and their distance in Å.
Element x y z (fractional)
Rb  0.0000  0.0000  0.0000  12 H 3.13-3.18
Ba  0.3333  0.6667  0.3079  10 H 2.67-2.92
Ba  0.6667  0.3333  0.6921  10 H 2.67-2.92
H  0.1544  0.3088  0.6248  1 Ru 1.72
H  0.1544  0.8456  0.6248  1 Ru 1.72
H  0.3088  0.1544  0.3752  1 Ru 1.72
H  0.3333  0.6667  0.9555  1 Ba 2.67
H  0.6667  0.3333  0.0445  1 Ba 2.67
H  0.6912  0.8456  0.6248  1 Ru 1.72
H  0.8456  0.1544  0.3752  1 Ru 1.72
H  0.8456  0.6912  0.3752  1 Ru 1.72
Ru  0.0000  0.0000  0.5000  6 H 1.72

---

Record 4
Here is a relaxed structure of RbV3P from Alexandria via LeMat-Bulk. Energies are from PBE.

Output
Formation energy   0.872 eV per atom
E above lowest polymorph   0.0 kJ/mol of atoms
Space group   Pm-3m
Energy   -29.4 eV per cell

Cell: 4.8690 4.8690 4.8690 Å, 90.00 90.00 90.00°
Last column: nearest neighbours and their distance in Å.
Element x y z (fractional)
Rb  0.0000  0.0000  0.0000  12 V 3.44
V  0.0000  0.5000  0.5000  2 P 2.43
V  0.5000  0.0000  0.5000  2 P 2.43
V  0.5000  0.5000  0.0000  2 P 2.43
P  0.5000  0.5000  0.5000  6 V 2.43

---

Record 5
Here is a relaxed structure of PaTeRh2 from Alexandria via LeMat-Bulk. Energies are from PBE.

Output
Uncorrected formation energy   -578 meV/atom
Space group   R-3m
Energy   -29.7 eV per cell

Cell: 6.2992 6.2992 6.2992 Å, 37.62 37.62 37.62°
Last column: nearest neighbours and their distance in Å.
Element x y z (fractional)
Pa  0.0000  0.0000  0.0000  6 Rh 2.78
Te  0.5000  0.5000  0.5000  6 Rh 2.74
Rh  0.2479  0.2479  0.2479  3 Te 2.74, 3 Pa 2.78
Rh  0.7521  0.7521  0.7521  3 Te 2.74, 3 Pa 2.78

---

Record 6
Here is a relaxed structure of La6PmHo4 from Alexandria via LeMat-Bulk. Energies are from PBE.

Output
Formation energy   0.136 eV per atom
E above lowest polymorph   3.5 kJ/mol of atoms
Space group   P-6m2
Energy   -51.1 eV per cell

Cell: 11.2001 11.2001 3.6173 Å, 90.00 90.00 120.00°
Last column: nearest neighbours and their distance in Å.
Element x y z (fractional)
La  0.1826  0.3651  0.0000  4 Ho 3.34-3.44, 2 La 3.62
La  0.1826  0.8174  0.0000  4 Ho 3.34-3.44, 2 La 3.62
La  0.5279  0.0558  0.5000  5 Ho 3.58-3.77, 6 La 3.62-3.88
La  0.5279  0.4721  0.5000  5 Ho 3.58-3.77, 6 La 3.62-3.88
La  0.6349  0.8174  0.0000  4 Ho 3.34-3.44, 2 La 3.62
La  0.9442  0.4721  0.5000  5 Ho 3.58-3.77, 6 La 3.62-3.88
Pm  0.0000  0.0000  0.5000  6 Ho 3.58, 2 Pm 3.62, 6 La 3.98
Ho  0.3190  0.1595  0.0000  6 La 3.34-3.58, 2 Pm 3.58, 2 Ho 3.62
Ho  0.3333  0.6667  0.5000  9 La 3.44-3.77, 2 Ho 3.62
Ho  0.8405  0.1595  0.0000  6 La 3.34-3.58, 2 Pm 3.58, 2 Ho 3.62
Ho  0.8405  0.6810  0.0000  6 La 3.34-3.58, 2 Pm 3.58, 2 Ho 3.62